--- 1 ---
DFT (PBE) results for Bi2PbS after structural relaxation.

Properties
Calculated density: 10.011 Mg/m³
DOS at the Fermi energy: 0.4626 states/eV/atom
Space group: Fm-3m

Cell lengths 5.362, 5.362, 5.362 Å; angles 60.00, 60.00, 60.00 degrees
Element x y z (fractional)
S 0.000 0.000 0.000
Bi 0.250 0.250 0.250
Bi 0.750 0.750 0.750
Pb 0.500 0.500 0.500


--- 2 ---
DFT (PBE) results for Bi2PbS after structural relaxation.

Properties
Calculated density: 7.015 Mg/m³
DOS at the Fermi energy: 0.4251 states/eV/atom
Space group: I-42d

Cell lengths 6.340, 6.340, 8.945 Å; angles 69.24, 69.24, 90.00 degrees
Element x y z (fractional)
Bi 0.375 0.436 0.750
Bi 0.875 0.814 0.750
Bi 0.186 0.625 0.250
Bi 0.564 0.125 0.250
S 0.500 0.500 0.000
S 0.250 0.750 0.500
Pb 0.000 0.000 0.000
Pb 0.750 0.250 0.500


Which of them is the least stable? Correct choice: 1.


--- 1 ---
DFT (PBE) results for Bi3PbS6 after structural relaxation.

Properties
Calculated density: 6.031 Mg/m³
DOS at the Fermi energy: 0.6801 states/eV/atom
Space group: R3

Cell lengths 7.147, 7.147, 7.607 Å; angles 61.98, 61.98, 60.00 degrees
Element x y z (fractional)
S 0.452 0.748 0.752
S 0.748 0.048 0.752
S 0.952 0.537 0.253
S 0.048 0.452 0.752
S 0.259 0.952 0.253
S 0.537 0.259 0.253
Bi 0.654 0.654 0.037
Bi 0.149 0.149 0.553
Bi 0.347 0.347 0.958
Pb 0.853 0.853 0.440


--- 2 ---
DFT (PBE) results for Bi3PbS6 after structural relaxation.

Properties
Calculated density: 6.412 Mg/m³
DOS at the Fermi energy: 0.8740 states/eV/atom
Space group: P2_1/m

Cell lengths 4.039, 11.839, 11.754 Å; angles 108.91, 90.00, 90.00 degrees
Element x y z (fractional)
S 0.750 0.798 0.747
S 0.250 0.610 0.937
S 0.250 0.268 0.739
S 0.250 0.526 0.384
S 0.750 0.390 0.063
S 0.750 0.119 0.474
S 0.250 0.202 0.253
S 0.750 0.926 0.096
S 0.250 0.074 0.904
S 0.750 0.474 0.616
S 0.250 0.881 0.526
S 0.750 0.732 0.261
Bi 0.750 0.443 0.838
Bi 0.250 0.557 0.162
Bi 0.250 0.847 0.910
Bi 0.750 0.691 0.472
Bi 0.250 0.309 0.528
Bi 0.750 0.153 0.090
Pb 0.750 0.028 0.683
Pb 0.250 0.972 0.317


Which of them is the least stable? Correct choice: 1.


--- 1 ---
DFT (PBE) results for Bi2Pb2S after structural relaxation.

Properties
Calculated density: 8.735 Mg/m³
DOS at the Fermi energy: 0.2601 states/eV/atom
Space group: P4/mbm

Cell lengths 7.901, 7.901, 5.266 Å; angles 90.00, 90.00, 90.00 degrees
Element x y z (fractional)
Bi 0.868 0.368 0.500
Bi 0.132 0.632 0.500
Bi 0.632 0.868 0.500
Bi 0.368 0.132 0.500
Pb 0.316 0.816 0.000
Pb 0.184 0.316 0.000
Pb 0.684 0.184 0.000
Pb 0.816 0.684 0.000
S 0.000 0.000 0.000
S 0.500 0.500 0.000


--- 2 ---
DFT (PBE) results for Bi2Pb2S after structural relaxation.

Properties
Calculated density: 9.218 Mg/m³
DOS at the Fermi energy: 0.6256 states/eV/atom
Space group: P4/mbm

Cell lengths 7.566, 7.566, 5.441 Å; angles 90.00, 90.00, 90.00 degrees
Element x y z (fractional)
Bi 0.154 0.346 0.000
Bi 0.654 0.154 0.000
Bi 0.346 0.846 0.000
Bi 0.846 0.654 0.000
Pb 0.166 0.666 0.500
Pb 0.666 0.834 0.500
Pb 0.834 0.334 0.500
Pb 0.334 0.166 0.500
S 0.500 0.500 0.000
S 0.000 0.000 0.000


Which of them is the least stable? Correct choice: 2.


--- 1 ---
DFT (PBE) results for Bi3PbS after structural relaxation.

Properties
Calculated density: 8.837 Mg/m³
DOS at the Fermi energy: 0.6584 states/eV/atom
Space group: Pm-3m

Cell lengths 5.460, 5.460, 5.460 Å; angles 90.00, 90.00, 90.00 degrees
Element x y z (fractional)
S 0.000 0.000 0.000
Bi 0.000 0.000 0.500
Bi 0.000 0.500 0.000
Bi 0.500 0.000 0.000
Pb 0.500 0.500 0.500


--- 2 ---
DFT (PBE) results for Bi3PbS after structural relaxation.

Properties
Calculated density: 6.968 Mg/m³
DOS at the Fermi energy: 1.6014 states/eV/atom
Space group: Pm-3m

Cell lengths 5.910, 5.910, 5.910 Å; angles 90.00, 90.00, 90.00 degrees
Last column: magnetic moment on the atom in μB.
Element x y z (fractional)
Pb 0.000 0.000 0.000  -0.02
Bi 0.000 0.500 0.000  0.10
Bi 0.500 0.000 0.000  0.10
Bi 0.000 0.000 0.500  0.06
S 0.500 0.500 0.500  0.49


Which of them is the least stable? Correct choice: 2.


--- 1 ---
DFT (PBE) results for TlBiPbS3 after structural relaxation.

Properties
Calculated density: 7.173 Mg/m³
Space group: P2_1/m

Cell lengths 4.171, 10.260, 7.764 Å; angles 92.86, 90.00, 90.00 degrees
Element x y z (fractional)
Tl 0.750 0.666 0.580
Tl 0.250 0.334 0.420
Pb 0.750 0.995 0.249
Pb 0.250 0.005 0.751
S 0.750 0.510 0.212
S 0.250 0.174 0.055
S 0.250 0.490 0.788
S 0.750 0.826 0.945
S 0.750 0.160 0.617
S 0.250 0.840 0.383
Bi 0.250 0.667 0.082
Bi 0.750 0.333 0.918


--- 2 ---
DFT (PBE) results for TlBiPbS3 after structural relaxation.

Properties
Calculated density: 7.212 Mg/m³
DOS at the Fermi energy: 0.0464 states/eV/atom
Space group: Imm2

Cell lengths 7.599, 7.599, 7.599 Å; angles 148.31, 133.85, 57.07 degrees
Element x y z (fractional)
S 0.816 0.316 0.500
S 0.189 0.689 0.500
S 0.478 0.978 0.500
Bi 0.337 0.337 0.000
Pb 0.670 0.670 0.000
Tl 0.009 0.009 0.000


Which of them is the least stable? Correct choice: 2.


--- 1 ---
DFT (PBE) results for BiSbPb3 after structural relaxation.

Properties
Calculated density: 7.786 Mg/m³
DOS at the Fermi energy: 0.4515 states/eV/atom
Space group: Pm-3m

Cell lengths 5.878, 5.878, 5.878 Å; angles 90.00, 90.00, 90.00 degrees
Element x y z (fractional)
Bi 0.500 0.500 0.500
Pb 0.500 0.000 0.000
Pb 0.000 0.500 0.000
Pb 0.000 0.000 0.500
Sb 0.000 0.000 0.000


--- 2 ---
DFT (PBE) results for BiSbPb3 after structural relaxation.

Properties
Calculated density: 8.640 Mg/m³
DOS at the Fermi energy: 0.2905 states/eV/atom
Space group: Pmc2_1

Cell lengths 5.598, 9.530, 6.862 Å; angles 90.00, 90.00, 90.00 degrees
Element x y z (fractional)
Pb 0.500 0.476 0.072
Pb 0.500 0.826 0.271
Pb 0.500 0.524 0.572
Pb 0.000 0.320 0.359
Pb 0.000 0.680 0.859
Pb 0.500 0.174 0.771
Bi 0.500 0.834 0.785
Bi 0.500 0.166 0.285
Sb 0.000 0.654 0.317
Sb 0.000 0.346 0.817


--- 3 ---
DFT (PBE) results for BiSbPb3 after structural relaxation.

Properties
Calculated density: 10.084 Mg/m³
DOS at the Fermi energy: 0.4985 states/eV/atom
Space group: P1

Cell lengths 4.081, 6.870, 6.186 Å; angles 80.21, 71.54, 73.09 degrees
Element x y z (fractional)
Pb 0.095 0.756 0.398
Pb 0.680 0.352 0.633
Pb 0.302 0.915 0.835
Bi 0.485 0.167 0.206
Sb 0.892 0.534 0.033


Which of them is the least stable? Correct choice: 1.